# CuH12N2Cl4O2, relaxed, DFT PBE
# * crystal system: tetragonal
# * calculated volume: 11.11 A^3/atom
# * calculated density: 1975 kg/m³
# * distance to the lowest polymorph of the same formula: 0.0120 eV per atom
data_CuH12N2Cl4O2
_chemical_formula_sum 'Cu2 H24 N4 Cl8 O4'
_cell_length_a 7.666
_cell_length_b 7.666
_cell_length_c 7.937
_cell_angle_alpha 90.00
_cell_angle_beta 90.00
_cell_angle_gamma 90.00
_space_group_name_H-M_alt 'P 42/m n m'
_space_group_IT_number 136
_space_group_name_Hall '-P 4n 2n'
loop_
_atom_site_label
_atom_site_type_symbol
_atom_site_fract_x
_atom_site_fract_y
_atom_site_fract_z
Cu1 Cu 0.000 0.000 0.000
H1 H 0.070 0.414 0.175
H2 H 0.075 0.075 0.320
N1 N 0.000 0.500 0.250
Cl1 Cl 0.211 0.211 0.500
Cl2 Cl 0.212 0.212 0.000
O1 O 0.000 0.000 0.246

=====

# CuH12N2Cl4O2, relaxed, DFT PBE
# * crystal system: triclinic
# * calculated volume: 11.61 A^3/atom
# * calculated density: 1890 kg/m³
# * distance to the lowest polymorph of the same formula: 0.0000 eV per atom
data_CuH12N2Cl4O2
_chemical_formula_sum 'Cu2 H24 N4 Cl8 O4'
_cell_length_a 7.840
_cell_length_b 7.842
_cell_length_c 7.929
_cell_angle_alpha 89.58
_cell_angle_beta 89.80
_cell_angle_gamma 89.76
_space_group_name_H-M_alt 'P 1'
_space_group_IT_number 1
_space_group_name_Hall 'P 1'
loop_
_atom_site_label
_atom_site_type_symbol
_atom_site_fract_x
_atom_site_fract_y
_atom_site_fract_z
Cu1 Cu 0.000 0.000 0.000
Cu2 Cu 0.499 0.506 0.501
H1 H 0.062 0.407 0.324
H2 H 0.066 0.079 0.317
H3 H 0.069 0.080 0.682
H4 H 0.070 0.405 0.676
H5 H 0.084 0.561 0.173
H6 H 0.090 0.555 0.828
H7 H 0.413 0.566 0.817
H8 H 0.416 0.067 0.826
H9 H 0.417 0.060 0.175
H10 H 0.425 0.583 0.184
H11 H 0.448 0.917 0.675
H12 H 0.450 0.913 0.329
H13 H 0.566 0.099 0.674
H14 H 0.568 0.430 0.819
H15 H 0.569 0.095 0.322
H16 H 0.581 0.448 0.183
H17 H 0.598 0.947 0.825
H18 H 0.599 0.941 0.175
H19 H 0.909 0.434 0.175
H20 H 0.915 0.429 0.825
H21 H 0.931 0.924 0.319
H22 H 0.933 0.927 0.683
H23 H 0.935 0.583 0.328
H24 H 0.943 0.581 0.674
N1 N 0.005 0.492 0.751
N2 N 0.507 0.008 0.750
N3 N 0.509 0.002 0.251
N4 N 0.998 0.496 0.250
Cl1 Cl 0.198 0.226 0.495
Cl2 Cl 0.225 0.183 0.001
Cl3 Cl 0.264 0.695 0.002
Cl4 Cl 0.315 0.732 0.505
Cl5 Cl 0.687 0.285 0.497
Cl6 Cl 0.724 0.315 0.000
Cl7 Cl 0.780 0.811 0.999
Cl8 Cl 0.817 0.767 0.506
O1 O 0.476 0.482 0.747
O2 O 0.517 0.531 0.254
O3 O 0.981 0.016 0.247
O4 O 0.984 0.019 0.753

=====

# CuH6Se2NClO6, relaxed, DFT PBE
# * crystal system: orthorhombic
# * calculated volume: 12.10 A^3/atom
# * VASP energy: -4.923 eV/atom
# * Fermi-level density of states: 0.36 states/eV/cell
# * calculated density: 3012 kg/m³
data_CuH6Se2NClO6
_chemical_formula_sum 'Cu4 H24 Se8 N4 Cl4 O24'
_cell_length_a 8.999
_cell_length_b 12.385
_cell_length_c 7.380
_cell_angle_alpha 90.00
_cell_angle_beta 90.00
_cell_angle_gamma 90.00
_space_group_name_H-M_alt 'P n m a'
_space_group_IT_number 62
_space_group_name_Hall '-P 2ac 2n'
loop_
_atom_site_label
_atom_site_type_symbol
_atom_site_fract_x
_atom_site_fract_y
_atom_site_fract_z
Cu1 Cu 0.000 0.000 0.000
H1 H 0.051 0.074 0.389
H2 H 0.080 0.750 0.576
H3 H 0.143 0.750 0.790
H4 H 0.237 0.681 0.625
Se1 Se 0.191 0.075 0.657
N1 N 0.176 0.750 0.653
Cl1 Cl 0.034 0.750 0.050
O1 O 0.042 0.001 0.739
O2 O 0.104 0.133 0.463
O3 O 0.211 0.029 0.057